Record 1
! AgAs2Os (meta-GGA SCAN, single point on PBEsol structure); values from VASP
! M_tot   0.000 μB/atom
! Total DFT energy (no corrections)   -35.675 eV per atom
! V   66.2 Å³ per cell
! ΔH_f (0 K)   0.232 eV per atom
&SYSTEM
  ibrav = 0, nat = 4, ntyp = 3
/
ATOMIC_SPECIES
Ag 107.87 Ag.upf
As 74.92 As.upf
Os 190.23 Os.upf
CELL_PARAMETERS angstrom
2.9835 0.0000 0.0000
0.0000 2.9835 0.0000
0.0000 0.0000 7.4333
ATOMIC_POSITIONS angstrom
Ag 0.0000 0.0000 0.0000
As 1.4918 1.4918 2.1397
As 1.4918 1.4918 5.2936
Os 0.0000 0.0000 3.7167

Record 2
! Zn2AsAu (meta-GGA SCAN, single point on PBEsol structure); values from VASP
! M_tot   0.000 μB/atom
! Total DFT energy (no corrections)   -29.056 eV per atom
! V   128.3 Å³ per cell
! ΔH_f (0 K)   0.039 eV per atom
&SYSTEM
  ibrav = 0, nat = 8, ntyp = 3
/
ATOMIC_SPECIES
Zn 65.41 Zn.upf
As 74.92 As.upf
Au 196.97 Au.upf
CELL_PARAMETERS angstrom
4.0543 0.0000 0.0000
0.0000 4.0543 0.0000
0.0000 0.0000 7.8059
ATOMIC_POSITIONS angstrom
Zn 0.0000 2.0271 1.9515
Zn 0.0000 2.0271 5.8544
Zn 2.0271 0.0000 1.9515
Zn 2.0271 0.0000 5.8544
As 0.0000 0.0000 0.0000
As 2.0271 2.0271 3.9030
Au 0.0000 0.0000 3.9030
Au 2.0271 2.0271 0.0000

Record 3
! GeMoPd2W (meta-GGA SCAN, single point on PBEsol structure); values from VASP
! M_tot   0.520 μB/atom
! Total DFT energy (no corrections)   -36.070 eV per atom
! V   100.2 Å³ per cell
! ΔH_f (0 K)   1.772 eV per atom
&SYSTEM
  ibrav = 0, nat = 5, ntyp = 4
/
ATOMIC_SPECIES
Ge 72.64 Ge.upf
Mo 95.94 Mo.upf
Pd 106.42 Pd.upf
W 183.84 W.upf
CELL_PARAMETERS angstrom
4.6416 0.0000 0.0000
0.0000 4.6416 0.0000
0.0000 0.0000 4.6493
ATOMIC_POSITIONS angstrom
Ge 0.0000 0.0000 0.0000
Mo 0.0000 0.0000 2.3246
Pd 0.0000 2.3208 2.3246
Pd 2.3208 0.0000 2.3246
W 2.3208 2.3208 0.0000

Record 4
! YRuAu2 (meta-GGA SCAN, single point on PBEsol structure); values from VASP
! M_tot   0.267 μB/atom
! Total DFT energy (no corrections)   -50.647 eV per atom
! V   142.4 Å³ per cell
! ΔH_f (0 K)   -0.401 eV per atom
&SYSTEM
  ibrav = 0, nat = 8, ntyp = 3
/
ATOMIC_SPECIES
Y 88.91 Y.upf
Ru 101.07 Ru.upf
Au 196.97 Au.upf
CELL_PARAMETERS angstrom
4.1259 0.0000 0.0000
0.0000 4.1259 0.0000
0.0000 0.0000 8.3656
ATOMIC_POSITIONS angstrom
Y 0.0000 0.0000 0.0000
Y 2.0629 2.0629 4.1828
Ru 0.0000 2.0629 2.0914
Ru 2.0629 0.0000 6.2742
Au 0.0000 0.0000 4.1828
Au 0.0000 2.0629 6.2742
Au 2.0629 0.0000 2.0914
Au 2.0629 2.0629 0.0000